Entry 1:
11
Lattice="3.7528 -6.4944 0.0000 3.7528 6.4944 0.0000 -2.4915 0.0000 7.1705" Properties=species:S:1:pos:R:3 comment="Ac6Pd2Rh3, optimized geometry, DFT GGA-PBE" ef_ev_per_atom=-0.695 vol_a3_per_atom=31.8 dos_ef_per_ev_cell=6.2 space_group=C2/m final_energy_ry_per_atom=-0.4326 pbc="T T T"
Ac 1.2170 2.2252 1.6647
Ac -0.0631 0.0000 5.4935
Ac 1.2170 -2.2252 1.6647
Ac 3.7971 2.2252 5.5058
Ac 5.0772 0.0000 1.6770
Ac 3.7971 -2.2252 5.5058
Pd 2.5070 4.3249 3.5852
Pd 2.5070 -4.3249 3.5852
Rh 0.0000 0.0000 0.0000
Rh 3.7528 2.1119 0.0000
Rh 3.7528 -2.1119 0.0000

---

Entry 2:
5
Lattice="4.8672 0.0000 0.0000 0.0000 4.8672 0.0000 0.0000 0.0000 3.9392" Properties=species:S:1:pos:R:3 comment="YTaS2N, optimized geometry, DFT GGA-PBE" e_above_lowest_polymorph_ev_per_fu=0.00 vol_a3_per_atom=18.7 dos_ef_per_ev_cell=1.0 formation_energy_uncorrected_ev_per_atom=-0.9764 space_group=P4/mmm final_energy_ry_per_atom=-0.5847 pbc="T T T"
Y 0.0000 0.0000 0.0000
Ta 2.4336 2.4336 1.9696
S 0.0000 2.4336 1.9696
S 2.4336 0.0000 1.9696
N 2.4336 2.4336 0.0000